1.
An optimized crystal structure of FeIrPbW, computed with GGA-PBE.

Computed properties:
M_tot in μB per atom: 0.44

abc: 6.4146 6.4146 6.4146
angles: 90.00 90.00 90.00
Closest atoms and distances in Å follow each position.
Element x y z (fractional)
Fe: 0.0000 0.0000 0.0000  4 Pb 2.78, 4 Ir 2.78
Fe: 0.0000 0.5000 0.5000  4 Pb 2.78, 4 Ir 2.78
Fe: 0.5000 0.0000 0.5000  4 Pb 2.78, 4 Ir 2.78
Fe: 0.5000 0.5000 0.0000  4 Pb 2.78, 4 Ir 2.78
Ir: 0.2500 0.2500 0.2500  4 W 2.78, 4 Fe 2.78
Ir: 0.2500 0.7500 0.7500  4 W 2.78, 4 Fe 2.78
Ir: 0.7500 0.2500 0.7500  4 W 2.78, 4 Fe 2.78
Ir: 0.7500 0.7500 0.2500  4 W 2.78, 4 Fe 2.78
Pb: 0.2500 0.2500 0.7500  4 W 2.78, 4 Fe 2.78
Pb: 0.2500 0.7500 0.2500  4 W 2.78, 4 Fe 2.78
Pb: 0.7500 0.2500 0.2500  4 W 2.78, 4 Fe 2.78
Pb: 0.7500 0.7500 0.7500  4 W 2.78, 4 Fe 2.78
W: 0.0000 0.0000 0.5000  4 Pb 2.78, 4 Ir 2.78
W: 0.0000 0.5000 0.0000  4 Pb 2.78, 4 Ir 2.78
W: 0.5000 0.0000 0.0000  4 Pb 2.78, 4 Ir 2.78
W: 0.5000 0.5000 0.5000  4 Pb 2.78, 4 Ir 2.78



2.
An optimized crystal structure of FeIrPbW, computed with GGA-PBE.

Computed properties:
M_tot in μB per atom: 0.66

abc: 6.4014 6.4014 6.4014
angles: 90.00 90.00 90.00
Closest atoms and distances in Å follow each position.
Element x y z (fractional)
Fe: 0.0000 0.0000 0.0000  4 Pb 2.77, 4 W 2.77
Fe: 0.0000 0.5000 0.5000  4 W 2.77, 4 Pb 2.77
Fe: 0.5000 0.0000 0.5000  4 W 2.77, 4 Pb 2.77
Fe: 0.5000 0.5000 0.0000  4 W 2.77, 4 Pb 2.77
Ir: 0.0000 0.0000 0.5000  4 W 2.77, 4 Pb 2.77
Ir: 0.0000 0.5000 0.0000  4 W 2.77, 4 Pb 2.77
Ir: 0.5000 0.0000 0.0000  4 W 2.77, 4 Pb 2.77
Ir: 0.5000 0.5000 0.5000  4 W 2.77, 4 Pb 2.77
Pb: 0.2500 0.2500 0.7500  4 Fe 2.77, 4 Ir 2.77
Pb: 0.2500 0.7500 0.2500  4 Fe 2.77, 4 Ir 2.77
Pb: 0.7500 0.2500 0.2500  4 Fe 2.77, 4 Ir 2.77
Pb: 0.7500 0.7500 0.7500  4 Fe 2.77, 4 Ir 2.77
W: 0.2500 0.2500 0.2500  4 Ir 2.77, 4 Fe 2.77
W: 0.2500 0.7500 0.7500  4 Ir 2.77, 4 Fe 2.77
W: 0.7500 0.2500 0.7500  4 Ir 2.77, 4 Fe 2.77
W: 0.7500 0.7500 0.2500  4 Ir 2.77, 4 Fe 2.77



Stability comparison, relative energies in eV/atom: 1 0.080; 2 0.000



1.
An optimized crystal structure of YFeIrPb, computed with GGA-PBE.

Computed properties:
M_tot in μB per atom: 0.51

abc: 6.6590 6.6590 6.6590
angles: 90.00 90.00 90.00
Closest atoms and distances in Å follow each position.
Element x y z (fractional)
Y: 0.0000 0.0000 0.0000  4 Fe 2.88, 4 Ir 2.88
Y: 0.0000 0.5000 0.5000  4 Fe 2.88, 4 Ir 2.88
Y: 0.5000 0.0000 0.5000  4 Fe 2.88, 4 Ir 2.88
Y: 0.5000 0.5000 0.0000  4 Fe 2.88, 4 Ir 2.88
Fe: 0.2500 0.2500 0.7500  4 Pb 2.88, 4 Y 2.88
Fe: 0.2500 0.7500 0.2500  4 Pb 2.88, 4 Y 2.88
Fe: 0.7500 0.2500 0.2500  4 Pb 2.88, 4 Y 2.88
Fe: 0.7500 0.7500 0.7500  4 Y 2.88, 4 Pb 2.88
Ir: 0.2500 0.2500 0.2500  4 Pb 2.88, 4 Y 2.88
Ir: 0.2500 0.7500 0.7500  4 Pb 2.88, 4 Y 2.88
Ir: 0.7500 0.2500 0.7500  4 Pb 2.88, 4 Y 2.88
Ir: 0.7500 0.7500 0.2500  4 Pb 2.88, 4 Y 2.88
Pb: 0.0000 0.0000 0.5000  4 Ir 2.88, 4 Fe 2.88
Pb: 0.0000 0.5000 0.0000  4 Ir 2.88, 4 Fe 2.88
Pb: 0.5000 0.0000 0.0000  4 Ir 2.88, 4 Fe 2.88
Pb: 0.5000 0.5000 0.5000  4 Ir 2.88, 4 Fe 2.88



2.
An optimized crystal structure of YFeIrPb, computed with GGA-PBE.

Computed properties:
M_tot in μB per atom: 0.85

abc: 6.7463 6.7463 6.7463
angles: 90.00 90.00 90.00
Closest atoms and distances in Å follow each position.
Element x y z (fractional)
Y: 0.0000 0.0000 0.0000  4 Pb 2.92, 4 Ir 2.92
Y: 0.0000 0.5000 0.5000  4 Pb 2.92, 4 Ir 2.92
Y: 0.5000 0.0000 0.5000  4 Pb 2.92, 4 Ir 2.92
Y: 0.5000 0.5000 0.0000  4 Pb 2.92, 4 Ir 2.92
Fe: 0.0000 0.0000 0.5000  4 Pb 2.92, 4 Ir 2.92
Fe: 0.0000 0.5000 0.0000  4 Pb 2.92, 4 Ir 2.92
Fe: 0.5000 0.0000 0.0000  4 Pb 2.92, 4 Ir 2.92
Fe: 0.5000 0.5000 0.5000  4 Ir 2.92, 4 Pb 2.92
Ir: 0.2500 0.2500 0.7500  4 Fe 2.92, 4 Y 2.92
Ir: 0.2500 0.7500 0.2500  4 Fe 2.92, 4 Y 2.92
Ir: 0.7500 0.2500 0.2500  4 Fe 2.92, 4 Y 2.92
Ir: 0.7500 0.7500 0.7500  4 Fe 2.92, 4 Y 2.92
Pb: 0.2500 0.2500 0.2500  4 Fe 2.92, 4 Y 2.92
Pb: 0.2500 0.7500 0.7500  4 Fe 2.92, 4 Y 2.92
Pb: 0.7500 0.2500 0.7500  4 Fe 2.92, 4 Y 2.92
Pb: 0.7500 0.7500 0.2500  4 Fe 2.92, 4 Y 2.92



Stability comparison, relative energies in eV/atom: 1 0.000; 2 0.142



1.
An optimized crystal structure of TaFeSbIr, computed with GGA-PBE.

Computed properties:
M_tot in μB per atom: 0.52

abc: 6.3910 6.3910 6.3910
angles: 90.00 90.00 90.00
Closest atoms and distances in Å follow each position.
Element x y z (fractional)
Ta: 0.0000 0.0000 0.0000  4 Fe 2.77, 4 Ir 2.77
Ta: 0.0000 0.5000 0.5000  4 Fe 2.77, 4 Ir 2.77
Ta: 0.5000 0.0000 0.5000  4 Fe 2.77, 4 Ir 2.77
Ta: 0.5000 0.5000 0.0000  4 Fe 2.77, 4 Ir 2.77
Fe: 0.2500 0.2500 0.7500  4 Ta 2.77, 4 Sb 2.77
Fe: 0.2500 0.7500 0.2500  4 Ta 2.77, 4 Sb 2.77
Fe: 0.7500 0.2500 0.2500  4 Ta 2.77, 4 Sb 2.77
Fe: 0.7500 0.7500 0.7500  4 Ta 2.77, 4 Sb 2.77
Sb: 0.0000 0.0000 0.5000  4 Fe 2.77, 4 Ir 2.77
Sb: 0.0000 0.5000 0.0000  4 Fe 2.77, 4 Ir 2.77
Sb: 0.5000 0.0000 0.0000  4 Fe 2.77, 4 Ir 2.77
Sb: 0.5000 0.5000 0.5000  4 Fe 2.77, 4 Ir 2.77
Ir: 0.2500 0.2500 0.2500  4 Ta 2.77, 4 Sb 2.77
Ir: 0.2500 0.7500 0.7500  4 Sb 2.77, 4 Ta 2.77
Ir: 0.7500 0.2500 0.7500  4 Sb 2.77, 4 Ta 2.77
Ir: 0.7500 0.7500 0.2500  4 Sb 2.77, 4 Ta 2.77



2.
An optimized crystal structure of TaFeSbIr, computed with GGA-PBE.

Computed properties:
M_tot in μB per atom: 0.51

abc: 6.4122 6.4122 6.4122
angles: 90.00 90.00 90.00
Closest atoms and distances in Å follow each position.
Element x y z (fractional)
Ta: 0.0000 0.0000 0.0000  4 Sb 2.78, 4 Ir 2.78
Ta: 0.0000 0.5000 0.5000  4 Sb 2.78, 4 Ir 2.78
Ta: 0.5000 0.0000 0.5000  4 Sb 2.78, 4 Ir 2.78
Ta: 0.5000 0.5000 0.0000  4 Sb 2.78, 4 Ir 2.78
Fe: 0.0000 0.0000 0.5000  4 Sb 2.78, 4 Ir 2.78
Fe: 0.0000 0.5000 0.0000  4 Sb 2.78, 4 Ir 2.78
Fe: 0.5000 0.0000 0.0000  4 Sb 2.78, 4 Ir 2.78
Fe: 0.5000 0.5000 0.5000  4 Sb 2.78, 4 Ir 2.78
Sb: 0.2500 0.2500 0.2500  4 Ta 2.78, 4 Fe 2.78
Sb: 0.2500 0.7500 0.7500  4 Ta 2.78, 4 Fe 2.78
Sb: 0.7500 0.2500 0.7500  4 Ta 2.78, 4 Fe 2.78
Sb: 0.7500 0.7500 0.2500  4 Ta 2.78, 4 Fe 2.78
Ir: 0.2500 0.2500 0.7500  4 Ta 2.78, 4 Fe 2.78
Ir: 0.2500 0.7500 0.2500  4 Ta 2.78, 4 Fe 2.78
Ir: 0.7500 0.2500 0.2500  4 Ta 2.78, 4 Fe 2.78
Ir: 0.7500 0.7500 0.7500  4 Ta 2.78, 4 Fe 2.78



Stability comparison, relative energies in eV/atom: 1 0.000; 2 0.134



1.
An optimized crystal structure of FeSbIrW, computed with GGA-PBE.

Computed properties:
M_tot in μB per atom: 0.61

abc: 6.3311 6.3311 6.3311
angles: 90.00 90.00 90.00
Closest atoms and distances in Å follow each position.
Element x y z (fractional)
Fe: 0.0000 0.0000 0.0000  4 W 2.74, 4 Sb 2.74
Fe: 0.0000 0.5000 0.5000  4 W 2.74, 4 Sb 2.74
Fe: 0.5000 0.0000 0.5000  4 W 2.74, 4 Sb 2.74
Fe: 0.5000 0.5000 0.0000  4 W 2.74, 4 Sb 2.74
Sb: 0.2500 0.2500 0.7500  4 Fe 2.74, 4 Ir 2.74
Sb: 0.2500 0.7500 0.2500  4 Fe 2.74, 4 Ir 2.74
Sb: 0.7500 0.2500 0.2500  4 Fe 2.74, 4 Ir 2.74
Sb: 0.7500 0.7500 0.7500  4 Fe 2.74, 4 Ir 2.74
Ir: 0.0000 0.0000 0.5000  4 Sb 2.74, 4 W 2.74
Ir: 0.0000 0.5000 0.0000  4 W 2.74, 4 Sb 2.74
Ir: 0.5000 0.0000 0.0000  4 W 2.74, 4 Sb 2.74
Ir: 0.5000 0.5000 0.5000  4 W 2.74, 4 Sb 2.74
W: 0.2500 0.2500 0.2500  4 Fe 2.74, 4 Ir 2.74
W: 0.2500 0.7500 0.7500  4 Fe 2.74, 4 Ir 2.74
W: 0.7500 0.2500 0.7500  4 Fe 2.74, 4 Ir 2.74
W: 0.7500 0.7500 0.2500  4 Fe 2.74, 4 Ir 2.74



2.
An optimized crystal structure of FeSbIrW, computed with GGA-PBE.

Computed properties:
M_tot in μB per atom: 0.36

abc: 6.3216 6.3216 6.3216
angles: 90.00 90.00 90.00
Closest atoms and distances in Å follow each position.
Element x y z (fractional)
Fe: 0.0000 0.0000 0.0000  4 Sb 2.74, 4 Ir 2.74
Fe: 0.0000 0.5000 0.5000  4 Sb 2.74, 4 Ir 2.74
Fe: 0.5000 0.0000 0.5000  4 Sb 2.74, 4 Ir 2.74
Fe: 0.5000 0.5000 0.0000  4 Sb 2.74, 4 Ir 2.74
Sb: 0.2500 0.2500 0.7500  4 W 2.74, 4 Fe 2.74
Sb: 0.2500 0.7500 0.2500  4 W 2.74, 4 Fe 2.74
Sb: 0.7500 0.2500 0.2500  4 W 2.74, 4 Fe 2.74
Sb: 0.7500 0.7500 0.7500  4 W 2.74, 4 Fe 2.74
Ir: 0.2500 0.2500 0.2500  4 Fe 2.74, 4 W 2.74
Ir: 0.2500 0.7500 0.7500  4 Fe 2.74, 4 W 2.74
Ir: 0.7500 0.2500 0.7500  4 Fe 2.74, 4 W 2.74
Ir: 0.7500 0.7500 0.2500  4 Fe 2.74, 4 W 2.74
W: 0.0000 0.0000 0.5000  4 Ir 2.74, 4 Sb 2.74
W: 0.0000 0.5000 0.0000  4 Ir 2.74, 4 Sb 2.74
W: 0.5000 0.0000 0.0000  4 Ir 2.74, 4 Sb 2.74
W: 0.5000 0.5000 0.5000  4 Ir 2.74, 4 Sb 2.74



Stability comparison, relative energies in eV/atom: 1 0.040; 2 0.000



1.
An optimized crystal structure of YFeSbIr, computed with GGA-PBE.

Computed properties:
M_tot in μB per atom: 0.83

abc: 6.6776 6.6776 6.6776
angles: 90.00 90.00 90.00
Closest atoms and distances in Å follow each position.
Element x y z (fractional)
Y: 0.0000 0.0000 0.0000  4 Sb 2.89, 4 Ir 2.89
Y: 0.0000 0.5000 0.5000  4 Sb 2.89, 4 Ir 2.89
Y: 0.5000 0.0000 0.5000  4 Sb 2.89, 4 Ir 2.89
Y: 0.5000 0.5000 0.0000  4 Sb 2.89, 4 Ir 2.89
Fe: 0.0000 0.0000 0.5000  4 Sb 2.89, 4 Ir 2.89
Fe: 0.0000 0.5000 0.0000  4 Sb 2.89, 4 Ir 2.89
Fe: 0.5000 0.0000 0.0000  4 Sb 2.89, 4 Ir 2.89
Fe: 0.5000 0.5000 0.5000  4 Sb 2.89, 4 Ir 2.89
Sb: 0.2500 0.2500 0.2500  4 Fe 2.89, 4 Y 2.89
Sb: 0.2500 0.7500 0.7500  4 Fe 2.89, 4 Y 2.89
Sb: 0.7500 0.2500 0.7500  4 Fe 2.89, 4 Y 2.89
Sb: 0.7500 0.7500 0.2500  4 Fe 2.89, 4 Y 2.89
Ir: 0.2500 0.2500 0.7500  4 Fe 2.89, 4 Y 2.89
Ir: 0.2500 0.7500 0.2500  4 Fe 2.89, 4 Y 2.89
Ir: 0.7500 0.2500 0.2500  4 Fe 2.89, 4 Y 2.89
Ir: 0.7500 0.7500 0.7500  4 Fe 2.89, 4 Y 2.89



2.
An optimized crystal structure of YFeSbIr, computed with GGA-PBE.

Computed properties:
M_tot in μB per atom: 0.42

abc: 6.6088 6.6088 6.6088
angles: 90.00 90.00 90.00
Closest atoms and distances in Å follow each position.
Element x y z (fractional)
Y: 0.0000 0.0000 0.0000  4 Fe 2.86, 4 Ir 2.86
Y: 0.0000 0.5000 0.5000  4 Fe 2.86, 4 Ir 2.86
Y: 0.5000 0.0000 0.5000  4 Fe 2.86, 4 Ir 2.86
Y: 0.5000 0.5000 0.0000  4 Fe 2.86, 4 Ir 2.86
Fe: 0.2500 0.2500 0.7500  4 Sb 2.86, 4 Y 2.86
Fe: 0.2500 0.7500 0.2500  4 Sb 2.86, 4 Y 2.86
Fe: 0.7500 0.2500 0.2500  4 Sb 2.86, 4 Y 2.86
Fe: 0.7500 0.7500 0.7500  4 Y 2.86, 4 Sb 2.86
Sb: 0.0000 0.0000 0.5000  4 Ir 2.86, 4 Fe 2.86
Sb: 0.0000 0.5000 0.0000  4 Ir 2.86, 4 Fe 2.86
Sb: 0.5000 0.0000 0.0000  4 Ir 2.86, 4 Fe 2.86
Sb: 0.5000 0.5000 0.5000  4 Ir 2.86, 4 Fe 2.86
Ir: 0.2500 0.2500 0.2500  4 Sb 2.86, 4 Y 2.86
Ir: 0.2500 0.7500 0.7500  4 Sb 2.86, 4 Y 2.86
Ir: 0.7500 0.2500 0.7500  4 Sb 2.86, 4 Y 2.86
Ir: 0.7500 0.7500 0.2500  4 Sb 2.86, 4 Y 2.86



Stability comparison, relative energies in eV/atom: 1 0.234; 2 0.000



1.
An optimized crystal structure of ScFeSiIr, computed with GGA-PBE.

Computed properties:
M_tot in μB per atom: 0.00

abc: 6.0170 6.0170 6.0170
angles: 90.00 90.00 90.00
Closest atoms and distances in Å follow each position.
Element x y z (fractional)
Sc: 0.0000 0.0000 0.0000  4 Fe 2.61, 4 Ir 2.61
Sc: 0.0000 0.5000 0.5000  4 Fe 2.61, 4 Ir 2.61
Sc: 0.5000 0.0000 0.5000  4 Fe 2.61, 4 Ir 2.61
Sc: 0.5000 0.5000 0.0000  4 Ir 2.61, 4 Fe 2.61
Fe: 0.2500 0.2500 0.7500  4 Sc 2.61, 4 Si 2.61
Fe: 0.2500 0.7500 0.2500  4 Sc 2.61, 4 Si 2.61
Fe: 0.7500 0.2500 0.2500  4 Sc 2.61, 4 Si 2.61
Fe: 0.7500 0.7500 0.7500  4 Sc 2.61, 4 Si 2.61
Si: 0.0000 0.0000 0.5000  4 Fe 2.61, 4 Ir 2.61
Si: 0.0000 0.5000 0.0000  4 Fe 2.61, 4 Ir 2.61
Si: 0.5000 0.0000 0.0000  4 Fe 2.61, 4 Ir 2.61
Si: 0.5000 0.5000 0.5000  4 Fe 2.61, 4 Ir 2.61
Ir: 0.2500 0.2500 0.2500  4 Sc 2.61, 4 Si 2.61
Ir: 0.2500 0.7500 0.7500  4 Sc 2.61, 4 Si 2.61
Ir: 0.7500 0.2500 0.7500  4 Sc 2.61, 4 Si 2.61
Ir: 0.7500 0.7500 0.2500  4 Sc 2.61, 4 Si 2.61



2.
An optimized crystal structure of ScFeSiIr, computed with GGA-PBE.

Computed properties:
M_tot in μB per atom: 0.84

abc: 6.2080 6.2080 6.2080
angles: 90.00 90.00 90.00
Closest atoms and distances in Å follow each position.
Element x y z (fractional)
Sc: 0.0000 0.0000 0.0000  4 Si 2.69, 4 Ir 2.69
Sc: 0.0000 0.5000 0.5000  4 Si 2.69, 4 Ir 2.69
Sc: 0.5000 0.0000 0.5000  4 Si 2.69, 4 Ir 2.69
Sc: 0.5000 0.5000 0.0000  4 Ir 2.69, 4 Si 2.69
Fe: 0.0000 0.0000 0.5000  4 Ir 2.69, 4 Si 2.69
Fe: 0.0000 0.5000 0.0000  4 Ir 2.69, 4 Si 2.69
Fe: 0.5000 0.0000 0.0000  4 Ir 2.69, 4 Si 2.69
Fe: 0.5000 0.5000 0.5000  4 Ir 2.69, 4 Si 2.69
Si: 0.2500 0.2500 0.2500  4 Fe 2.69, 4 Sc 2.69
Si: 0.2500 0.7500 0.7500  4 Fe 2.69, 4 Sc 2.69
Si: 0.7500 0.2500 0.7500  4 Fe 2.69, 4 Sc 2.69
Si: 0.7500 0.7500 0.2500  4 Fe 2.69, 4 Sc 2.69
Ir: 0.2500 0.2500 0.7500  4 Fe 2.69, 4 Sc 2.69
Ir: 0.2500 0.7500 0.2500  4 Fe 2.69, 4 Sc 2.69
Ir: 0.7500 0.2500 0.2500  4 Fe 2.69, 4 Sc 2.69
Ir: 0.7500 0.7500 0.7500  4 Fe 2.69, 4 Sc 2.69



Stability comparison, relative energies in eV/atom: 1 0.000; 2 0.412



1.
An optimized crystal structure of TaFeSiIr, computed with GGA-PBE.

Computed properties:
M_tot in μB per atom: 0.48

abc: 6.0871 6.0871 6.0871
angles: 90.00 90.00 90.00
Closest atoms and distances in Å follow each position.
Element x y z (fractional)
Ta: 0.0000 0.0000 0.0000  4 Fe 2.64, 4 Ir 2.64
Ta: 0.0000 0.5000 0.5000  4 Fe 2.64, 4 Ir 2.64
Ta: 0.5000 0.0000 0.5000  4 Fe 2.64, 4 Ir 2.64
Ta: 0.5000 0.5000 0.0000  4 Fe 2.64, 4 Ir 2.64
Fe: 0.2500 0.2500 0.7500  4 Ta 2.64, 4 Si 2.64
Fe: 0.2500 0.7500 0.2500  4 Ta 2.64, 4 Si 2.64
Fe: 0.7500 0.2500 0.2500  4 Ta 2.64, 4 Si 2.64
Fe: 0.7500 0.7500 0.7500  4 Ta 2.64, 4 Si 2.64
Si: 0.0000 0.0000 0.5000  4 Fe 2.64, 4 Ir 2.64
Si: 0.0000 0.5000 0.0000  4 Fe 2.64, 4 Ir 2.64
Si: 0.5000 0.0000 0.0000  4 Fe 2.64, 4 Ir 2.64
Si: 0.5000 0.5000 0.5000  4 Fe 2.64, 4 Ir 2.64
Ir: 0.2500 0.2500 0.2500  4 Ta 2.64, 4 Si 2.64
Ir: 0.2500 0.7500 0.7500  4 Ta 2.64, 4 Si 2.64
Ir: 0.7500 0.2500 0.7500  4 Ta 2.64, 4 Si 2.64
Ir: 0.7500 0.7500 0.2500  4 Ta 2.64, 4 Si 2.64



2.
An optimized crystal structure of TaFeSiIr, computed with GGA-PBE.

Computed properties:
M_tot in μB per atom: 0.61

abc: 6.1354 6.1354 6.1354
angles: 90.00 90.00 90.00
Closest atoms and distances in Å follow each position.
Element x y z (fractional)
Ta: 0.0000 0.0000 0.0000  4 Ir 2.66, 4 Si 2.66
Ta: 0.0000 0.5000 0.5000  4 Ir 2.66, 4 Si 2.66
Ta: 0.5000 0.0000 0.5000  4 Ir 2.66, 4 Si 2.66
Ta: 0.5000 0.5000 0.0000  4 Ir 2.66, 4 Si 2.66
Fe: 0.0000 0.0000 0.5000  4 Si 2.66, 4 Ir 2.66
Fe: 0.0000 0.5000 0.0000  4 Si 2.66, 4 Ir 2.66
Fe: 0.5000 0.0000 0.0000  4 Si 2.66, 4 Ir 2.66
Fe: 0.5000 0.5000 0.5000  4 Si 2.66, 4 Ir 2.66
Si: 0.2500 0.2500 0.2500  4 Ta 2.66, 4 Fe 2.66
Si: 0.2500 0.7500 0.7500  4 Ta 2.66, 4 Fe 2.66
Si: 0.7500 0.2500 0.7500  4 Ta 2.66, 4 Fe 2.66
Si: 0.7500 0.7500 0.2500  4 Ta 2.66, 4 Fe 2.66
Ir: 0.2500 0.2500 0.7500  4 Ta 2.66, 4 Fe 2.66
Ir: 0.2500 0.7500 0.2500  4 Ta 2.66, 4 Fe 2.66
Ir: 0.7500 0.2500 0.2500  4 Ta 2.66, 4 Fe 2.66
Ir: 0.7500 0.7500 0.7500  4 Ta 2.66, 4 Fe 2.66



Stability comparison, relative energies in eV/atom: 1 0.000; 2 0.257